(1)
Entry from Alexandria via LeMat-Bulk: a relaxed NaCd2InPt crystal (PBE).

Values from the calculation:
Energy relative to the elements   -0.196 eV/atom
Energy   -12.911 eV/cell
Volume   28.81 Å³/atom
M_tot   0.00 μB per formula unit
Space-group type   No. 123

Unit cell a=5.294 b=5.294 c=5.141 alpha=90.00 beta=90.00 gamma=90.00
Sites, in units of the cell vectors:
1 Pt 0.000 0.000 0.000
2 Na 0.500 0.500 0.500
3 Cd 0.000 0.500 0.000
4 Cd 0.500 0.000 0.000
5 In 0.000 0.000 0.500


(2)
Entry from Alexandria via LeMat-Bulk: a relaxed MgAl2Rh crystal (PBE).

Values from the calculation:
Energy relative to the elements   -0.503 eV/atom
Energy   -18.442 eV/cell
Volume   17.91 Å³/atom
M_tot   0.00 μB per formula unit
Space-group type   No. 160

Unit cell a=4.241 b=4.241 c=5.211 alpha=65.99 beta=65.99 gamma=60.00
Sites, in units of the cell vectors:
1 Rh 0.683 0.683 0.950
2 Al 0.283 0.283 0.150
3 Al 0.042 0.042 0.873
4 Mg 0.491 0.491 0.527


(3)
Entry from Alexandria via LeMat-Bulk: a relaxed Cs3ErTa2O8 crystal (PBE).

Values from the calculation:
Energy   -108.163 eV/cell
Volume   21.20 Å³/atom
M_tot   0.00 μB per formula unit
Space-group type   No. 164

Unit cell a=6.337 b=6.337 c=8.535 alpha=90.00 beta=90.00 gamma=120.00
Sites, in units of the cell vectors:
1 Er 0.000 0.000 0.500
2 O 0.661 0.830 0.348
3 O 0.830 0.661 0.652
4 O 0.830 0.170 0.652
5 O 0.667 0.333 0.935
6 O 0.170 0.339 0.348
7 O 0.339 0.170 0.652
8 O 0.333 0.667 0.065
9 O 0.170 0.830 0.348
10 Cs 0.667 0.333 0.270
11 Cs 0.333 0.667 0.730
12 Cs 0.000 0.000 0.000
13 Ta 0.333 0.667 0.279
14 Ta 0.667 0.333 0.721